# Mg2NiBIr PBE relaxed
# energy relative to the elements = 0.539 eV per atom
# size of the total moment = 0.0 μB/cell
# space group = P4/mmm, No. 123
data_Mg2NiBIr
_chemical_formula_sum 'Mg2 Ni1 B1 Ir1'
_space_group_name_H-M_alt 'P 1'
_space_group_IT_number 1
_cell_length_a 4.655
_cell_length_b 4.655
_cell_length_c 3.628
_cell_angle_alpha 90.00
_cell_angle_beta 90.00
_cell_angle_gamma 90.00
loop_
_space_group_symop_operation_xyz
'x,y,z'
loop_
_atom_site_label
_atom_site_type_symbol
_atom_site_fract_x
_atom_site_fract_y
_atom_site_fract_z
Mg1 Mg 0.000 0.500 0.000
Mg2 Mg 0.500 0.000 0.000
Ni1 Ni 0.000 0.000 0.000
B1 B 0.000 0.000 0.500
Ir1 Ir 0.500 0.500 0.500